# Y2Pt2Pb

Y2Pt2Pb after structural relaxation (PBEsol, Alexandria via LeMat-Bulk).

Its raw total energy is -7.088 eV/atom. The magnetic moment comes out at 0.0 μB per cell. As for the symmetry: No. 139. The calculation puts the formation energy at -0.774 eV per atom.

Structure (POSCAR):
```
Y2Pt2Pb
1.0
-2.260 -1.166 4.687
5.636 0.026 -0.309
2.629 4.044 2.273
Pt Pb Y
2 1 2
Direct
0.647 0.294 0.353 Pt
0.353 0.706 0.647 Pt
0.000 0.000 0.000 Pb
0.750 0.500 0.750 Y
0.250 0.500 0.250 Y
```



# BiBCl2

BiBCl2 after structural relaxation (PBEsol, Alexandria via LeMat-Bulk).

Its raw total energy is -3.303 eV/atom. The magnetic moment comes out at 0.0 μB per cell. As for the symmetry: No. 166. The value obtained for the offset from the most stable computed form is 325 meV per atom. The calculation puts the energy relative to the elements, uncorrected at 203 kJ/mol of formula units.

Structure (POSCAR):
```
BiBCl2
1.0
-2.247 -0.803 2.547
-2.438 -2.441 -0.529
3.787 -7.041 3.513
Bi Cl B
1 2 1
Direct
0.000 0.000 0.000 Bi
0.107 0.107 0.678 Cl
0.893 0.893 0.322 Cl
0.500 0.500 0.500 B
```



# InSeN2F

InSeN2F after structural relaxation (PBEsol, Alexandria via LeMat-Bulk).

Its raw total energy is -3.468 eV/atom. The magnetic moment comes out at 4.5 μB per cell. As for the symmetry: No. 123. The calculation puts the energy relative to the elements, uncorrected at 818 kJ/mol of formula units.

Structure (POSCAR):
```
InSeN2F
1.0
-1.992 3.012 -1.567
1.154 -1.377 -4.114
-3.696 -2.541 -0.187
Se F In N
1 1 1 2
Direct
0.500 0.000 0.000 Se
0.000 0.000 0.000 F
0.500 0.500 0.500 In
0.000 0.000 0.500 N
0.000 0.500 0.000 N
```



# MnCr2P

MnCr2P after structural relaxation (PBEsol, Alexandria via LeMat-Bulk).

Its raw total energy is -9.323 eV/atom. The magnetic moment comes out at 0.0 μB per cell. As for the symmetry: No. 71. The calculation puts the formation energy at -0.314 eV per atom.

Structure (POSCAR):
```
MnCr2P
1.0
-0.044 2.702 0.948
-3.191 -0.692 1.824
3.666 -2.086 1.787
Cr P Mn
2 1 1
Direct
0.255 0.255 0.510 Cr
0.745 0.745 0.490 Cr
0.000 0.500 0.000 P
0.500 0.000 0.000 Mn
```



# BaGeSe2

BaGeSe2 after structural relaxation (PBEsol, Alexandria via LeMat-Bulk).

Its raw total energy is -4.061 eV/atom. The magnetic moment comes out at 0.6 μB per cell. As for the symmetry: No. 166. The calculation puts the energy relative to the elements, uncorrected at -140 kJ/mol of formula units.

Structure (POSCAR):
```
BaGeSe2
1.0
-0.935 -3.751 0.341
-0.256 -2.232 -3.165
8.415 -4.120 -0.157
Se Ba Ge
2 1 1
Direct
0.113 0.113 0.662 Se
0.887 0.887 0.338 Se
0.000 0.000 0.000 Ba
0.500 0.500 0.500 Ge
```



# ZnReBr2

ZnReBr2 after structural relaxation (PBEsol, Alexandria via LeMat-Bulk).

Its raw total energy is -4.041 eV/atom. The magnetic moment comes out at 0.0 μB per cell. As for the symmetry: No. 44. The value obtained for the offset from the most stable computed form is 299 meV per atom. The calculation puts the energy relative to the elements, uncorrected at 240 kJ/mol of formula units.

Structure (POSCAR):
```
ZnReBr2
1.0
3.002 0.000 0.000
0.000 4.683 0.000
-1.501 -2.341 5.794
Re Br Zn
1 2 1
Direct
0.493 0.493 0.987 Re
0.013 0.013 0.026 Br
0.818 0.318 0.635 Br
0.176 0.676 0.352 Zn
```



# H3PbBr

H3PbBr after structural relaxation (PBEsol, Alexandria via LeMat-Bulk).

Its raw total energy is -2.748 eV/atom. The magnetic moment comes out at 0.0 μB per cell. As for the symmetry: No. 221.

Structure (POSCAR):
```
H3PbBr
1.0
-1.943 0.623 -3.489
0.084 -3.970 -0.755
-3.544 -0.436 1.896
H Br Pb
3 1 1
Direct
0.000 0.500 0.000 H
0.000 0.000 0.500 H
0.500 0.000 0.000 H
0.500 0.500 0.500 Br
0.000 0.000 0.000 Pb
```



# Cr2FeP

Cr2FeP after structural relaxation (PBEsol, Alexandria via LeMat-Bulk).

Its raw total energy is -9.031 eV/atom. The magnetic moment comes out at 0.9 μB per cell. As for the symmetry: No. 47. The calculation puts the formation energy at -0.221 eV per atom.

Structure (POSCAR):
```
Cr2FeP
1.0
2.869 0.000 0.000
0.000 3.738 0.000
0.000 0.000 3.941
Fe Cr P
1 2 1
Direct
0.500 0.000 0.500 Fe
0.500 0.500 0.000 Cr
0.000 0.000 0.000 Cr
0.000 0.500 0.500 P
```



# IrRhPb2F

IrRhPb2F after structural relaxation (PBEsol, Alexandria via LeMat-Bulk).

Its raw total energy is -5.200 eV/atom. The magnetic moment comes out at 0.0 μB per cell. As for the symmetry: No. 123. The calculation puts the energy relative to the elements, uncorrected at 182 kJ/mol of formula units.

Structure (POSCAR):
```
IrRhPb2F
1.0
-3.153 -1.330 -1.844
-0.495 -3.778 3.573
-3.014 3.133 2.895
Rh Ir F Pb
1 1 1 2
Direct
0.500 0.500 0.500 Rh
0.000 0.000 0.000 Ir
0.500 0.000 0.000 F
0.000 0.000 0.500 Pb
0.000 0.500 0.000 Pb
```



# ZnCrMo

ZnCrMo after structural relaxation (PBEsol, Alexandria via LeMat-Bulk).

Its raw total energy is -7.644 eV/atom. The magnetic moment comes out at 0.0 μB per cell. As for the symmetry: No. 44. The calculation puts the formation energy at 0.220 eV per atom.

Structure (POSCAR):
```
ZnCrMo
1.0
2.520 0.000 0.000
0.000 4.057 0.000
-1.260 -2.028 3.911
Cr Mo Zn
1 1 1
Direct
0.996 0.996 0.991 Cr
0.669 0.669 0.338 Mo
0.335 0.335 0.671 Zn
```



# KBe2Ir

KBe2Ir after structural relaxation (PBEsol, Alexandria via LeMat-Bulk).

Its raw total energy is -4.228 eV/atom. The magnetic moment comes out at 0.0 μB per cell. As for the symmetry: No. 166. The value obtained for the offset from the most stable computed form is 0 meV per atom. The calculation puts the formation energy at 0.511 eV per atom.

Structure (POSCAR):
```
KBe2Ir
1.0
-2.425 -0.290 -1.377
-0.013 -0.984 -2.625
-1.606 -8.912 1.853
Ir Be K
1 2 1
Direct
0.500 0.500 0.500 Ir
0.771 0.771 0.687 Be
0.229 0.229 0.313 Be
0.000 0.000 0.000 K
```



# LaAg2Au2

LaAg2Au2 after structural relaxation (PBEsol, Alexandria via LeMat-Bulk).

Its raw total energy is -4.229 eV/atom. The magnetic moment comes out at 0.0 μB per cell. As for the symmetry: No. 139. The value obtained for the offset from the most stable computed form is 150 meV per atom. The calculation puts the formation energy at -0.266 eV per atom.

Structure (POSCAR):
```
LaAg2Au2
1.0
-4.862 0.872 -0.508
2.662 -2.005 -4.648
-0.970 -3.344 3.541
Au Ag La
2 2 1
Direct
0.250 0.500 0.750 Au
0.750 0.500 0.250 Au
0.358 0.715 0.358 Ag
0.642 0.285 0.642 Ag
0.000 0.000 0.000 La
```